Compound: FeIrPdPb
Source: the Open Quantum Materials Database
Functional: PBE-GGA
Structure: relaxed

Output
V: 263.45 Å³ per cell
Energy above the most stable polymorph in this dataset: 0 meV/atom
Calculated total energy: -6.198 eV per atom

Unit cell a=6.411 b=6.411 c=6.411 alpha=90.00 beta=90.00 gamma=90.00
Space group F-43m (No. 216)
Asymmetric unit:
Fe1 0.000 0.000 0.000 [4 per cell]
Ir1 0.000 0.000 0.500 [4 per cell]
Pd1 0.250 0.250 0.250 [4 per cell]
Pb1 0.250 0.250 0.750 [4 per cell]


Compound: FeIrPtPb
Source: the Open Quantum Materials Database
Functional: PBE-GGA
Structure: relaxed

Output
V: 265.32 Å³ per cell
Energy above the most stable polymorph in this dataset: 0 meV/atom
Calculated total energy: -6.412 eV per atom

Unit cell a=6.426 b=6.426 c=6.426 alpha=90.00 beta=90.00 gamma=90.00
Space group F-43m (No. 216)
Asymmetric unit:
Fe1 0.000 0.000 0.000 [4 per cell]
Ir1 0.000 0.000 0.500 [4 per cell]
Pt1 0.250 0.250 0.250 [4 per cell]
Pb1 0.250 0.250 0.750 [4 per cell]


Compound: TaFeIrPb
Source: the Open Quantum Materials Database
Functional: PBE-GGA
Structure: relaxed

Output
V: 268.80 Å³ per cell
Energy above the most stable polymorph in this dataset: 0 meV/atom
Calculated total energy: -7.990 eV per atom

Unit cell a=6.454 b=6.454 c=6.454 alpha=90.00 beta=90.00 gamma=90.00
Space group F-43m (No. 216)
Asymmetric unit:
Ta1 0.000 0.000 0.000 [4 per cell]
Fe1 0.250 0.250 0.750 [4 per cell]
Ir1 0.250 0.250 0.250 [4 per cell]
Pb1 0.000 0.000 0.500 [4 per cell]


Compound: TaFeIrPb
Source: the Open Quantum Materials Database
Functional: PBE-GGA
Structure: relaxed

Output
V: 273.47 Å³ per cell
Energy above the most stable polymorph in this dataset: 230 meV/atom
Calculated total energy: -7.761 eV per atom

Unit cell a=6.491 b=6.491 c=6.491 alpha=90.00 beta=90.00 gamma=90.00
Space group F-43m (No. 216)
Asymmetric unit:
Ta1 0.000 0.000 0.000 [4 per cell]
Fe1 0.000 0.000 0.500 [4 per cell]
Ir1 0.250 0.250 0.750 [4 per cell]
Pb1 0.250 0.250 0.250 [4 per cell]


Compound: FeTcIrPb
Source: the Open Quantum Materials Database
Functional: PBE-GGA
Structure: relaxed

Output
V: 260.41 Å³ per cell
Energy above the most stable polymorph in this dataset: 0 meV/atom
Calculated total energy: -7.245 eV per atom

Unit cell a=6.386 b=6.386 c=6.386 alpha=90.00 beta=90.00 gamma=90.00
Space group F-43m (No. 216)
Asymmetric unit:
Fe1 0.000 0.000 0.000 [4 per cell]
Tc1 0.250 0.250 0.250 [4 per cell]
Ir1 0.000 0.000 0.500 [4 per cell]
Pb1 0.250 0.250 0.750 [4 per cell]


Compound: FeIrPbW
Source: the Open Quantum Materials Database
Functional: PBE-GGA
Structure: relaxed

Output
V: 263.95 Å³ per cell
Energy above the most stable polymorph in this dataset: 80 meV/atom
Calculated total energy: -7.761 eV per atom

Unit cell a=6.415 b=6.415 c=6.415 alpha=90.00 beta=90.00 gamma=90.00
Space group F-43m (No. 216)
Asymmetric unit:
Fe1 0.000 0.000 0.000 [4 per cell]
Ir1 0.250 0.250 0.250 [4 per cell]
Pb1 0.250 0.250 0.750 [4 per cell]
W1 0.000 0.000 0.500 [4 per cell]


Repeat the fourth record exactly.
Compound: TaFeIrPb
Source: the Open Quantum Materials Database
Functional: PBE-GGA
Structure: relaxed

Output
V: 273.47 Å³ per cell
Energy above the most stable polymorph in this dataset: 230 meV/atom
Calculated total energy: -7.761 eV per atom

Unit cell a=6.491 b=6.491 c=6.491 alpha=90.00 beta=90.00 gamma=90.00
Space group F-43m (No. 216)
Asymmetric unit:
Ta1 0.000 0.000 0.000 [4 per cell]
Fe1 0.000 0.000 0.500 [4 per cell]
Ir1 0.250 0.250 0.750 [4 per cell]
Pb1 0.250 0.250 0.250 [4 per cell]